The following is a meta-GGA SCAN calculation of Te7RhCl7 at its PBEsol-relaxed geometry, from Alexandria.

## Properties
M_tot in μB/atom: 0.000
DFT total energy in eV/cell: -716.3
E_form (uncorrected) in meV/atom: -518

Lattice parameters (Å, degrees): 9.0920 9.9869 11.3020 69.71 69.51 67.84
Space group P-1 (No. 2)
Inequivalent atoms, fractional coordinates:
Te (0.0457, 0.1531, 0.0184) [2 per cell]
Te (0.0575, 0.1579, 0.3457) [2 per cell]
Te (0.0677, 0.6615, 0.2035) [2 per cell]
Te (0.1934, 0.4477, 0.0393) [2 per cell]
Te (0.2113, 0.4432, 0.7049) [2 per cell]
Te (0.3380, 0.7392, 0.7353) [2 per cell]
Te (0.3521, 0.2061, 0.8938) [2 per cell]
Rh (0.0728, 0.6482, 0.8424) [2 per cell]
Cl (0.0203, 0.6498, 0.5243) [2 per cell]
Cl (0.1792, 0.0118, 0.6919) [2 per cell]
Cl (0.2239, 0.9614, 0.2110) [2 per cell]
Cl (0.3220, 0.1886, 0.2973) [2 per cell]
Cl (0.3271, 0.7736, 0.9656) [2 per cell]
Cl (0.3398, 0.7573, 0.5108) [2 per cell]
Cl (0.4689, 0.5351, 0.2574) [2 per cell]